Computed, not measured: a geometry-optimized Ba2HPd structure at the PBE level of DFT.

Unit cell a=4.3488 b=4.3488 c=8.1775 alpha=74.58 beta=74.58 gamma=60.00
Sites, in units of the cell vectors:
Ba: 0.0820 0.0820 0.7540
Ba: 0.2522 0.2522 0.2434
H: 0.4988 0.4988 0.5036
Pd: 0.6670 0.6670 0.9990

SG ... R3m
VASP energy ... -13.7 eV for the cell shown
Fermi-level density of states ... 2.01 states/eV per cell